Density functional theory data (PBE+U) for a relaxed structure of KFeP2O.

abc: 4.9262 4.9262 3.9062
angles: 90.00 90.00 90.00
Element x y z (fractional)
K (0.0000, 0.0000, 0.0000)
Fe (0.5000, 0.5000, 0.5000)
P (0.0000, 0.5000, 0.5000)
P (0.5000, 0.0000, 0.5000)
O (0.5000, 0.5000, 0.0000)

Space group = No. 123
Electronic total energy = -21.490 eV/cell